1.
The following is a DFT calculation (PBE) of a relaxed PmTlP2 crystal.

Cell and atoms, written as POSCAR:
```
PmTlP2
1.0
3.792 0.000 0.000
0.000 4.779 0.000
0.000 0.000 4.779
P Tl Pm
2 1 1
direct
0.000 0.000 0.500 P
0.000 0.500 0.000 P
0.500 0.000 0.000 Tl
0.500 0.500 0.500 Pm
```

## Properties
E above lowest polymorph: 0.196 eV/atom
ΔH_f (0 K): -0.3964 eV/atom
Symmetry: No. 123



2.
The following is a DFT calculation (PBE) of a relaxed LiAlNi crystal.

Cell and atoms, written as POSCAR:
```
LiAlNi
1.0
4.600 0.373 0.997
2.407 3.938 0.995
1.200 0.739 4.680
Ni Al Li
2 2 2
direct
0.084 0.042 0.398 Ni
0.756 0.713 0.912 Ni
0.096 0.053 0.888 Al
0.745 0.702 0.423 Al
0.434 0.392 0.394 Li
0.406 0.363 0.917 Li
```

## Properties
ΔH_f (0 K): -0.3563 eV/atom
Symmetry: No. 12



3.
The following is a DFT calculation (PBE) of a relaxed Er2ZrNi2 crystal.

Cell and atoms, written as POSCAR:
```
Er2ZrNi2
1.0
5.802 0.000 0.000
-2.901 5.259 -0.761
0.000 -0.287 6.901
Ni Er Zr
4 4 2
direct
0.697 0.702 0.496 Ni
0.005 0.702 0.996 Ni
0.995 0.298 0.004 Ni
0.303 0.298 0.504 Ni
0.240 0.701 0.351 Er
0.539 0.299 0.149 Er
0.461 0.701 0.851 Er
0.760 0.299 0.649 Er
0.912 0.000 0.250 Zr
0.088 0.000 0.750 Zr
```

## Properties
ΔH_f (0 K): -0.3460 eV/atom
Symmetry: No. 15



4.
The following is a DFT calculation (PBE) of a relaxed ZrW crystal.

Cell and atoms, written as POSCAR:
```
ZrW
1.0
-4.257 -0.301 1.314
-0.646 -4.781 -3.189
1.716 -3.420 4.778
W Zr
4 4
direct
0.250 0.099 0.083 W
0.750 0.599 0.417 W
0.250 0.401 0.583 W
0.750 0.901 0.917 W
0.750 0.118 0.371 Zr
0.250 0.618 0.129 Zr
0.250 0.882 0.629 Zr
0.750 0.382 0.871 Zr
```

## Properties
ΔH_f (0 K): 0.3703 eV/atom
Symmetry: No. 62



5.
The following is a DFT calculation (PBE) of a relaxed LaThBiAs crystal.

Cell and atoms, written as POSCAR:
```
LaThBiAs
1.0
4.434 0.000 0.000
2.217 3.840 0.000
2.217 1.280 7.447
As Bi La Th
1 1 1 1
direct
0.003 0.003 0.992 As
0.498 0.498 0.506 Bi
0.258 0.258 0.225 La
0.741 0.741 0.776 Th
```

## Properties
ΔH_f (0 K): -1.1544 eV/atom
Symmetry: No. 160



6.
The following is a DFT calculation (PBE) of a relaxed CaZrS2N crystal.

Cell and atoms, written as POSCAR:
```
CaZrS2N
1.0
5.078 0.000 0.000
0.000 5.078 0.000
0.000 0.000 4.143
Ca Zr N S
1 1 1 2
direct
0.500 0.500 0.500 Ca
0.000 0.000 0.000 Zr
0.000 0.000 0.500 N
0.000 0.500 0.000 S
0.500 0.000 0.000 S
```

## Properties
E above lowest polymorph: 0.000 eV/atom
Symmetry: No. 123